(1)
VASP calculation (PBEsol) on a relaxed In2HgPb crystal.

Raw total energy in Ry per atom: -0.1930
DFT formation energy in eV per atom: 0.0072
Symmetry: Pm (6)
Magnetic moment in μB/f.u.: 0.00

Geometry as POSCAR:
```
In2HgPb
1.0
-3.225 -0.455 -0.397
-0.195 -2.478 4.423
0.574 5.622 3.175
Pb Hg In
1 1 2
Direct
0.445 0.000 0.523
0.066 0.500 0.741
0.189 0.000 0.005
0.800 0.500 0.231
```

=====

(2)
VASP calculation (PBEsol) on a relaxed InHgPb crystal.

Raw total energy in Ry per atom: -0.1776
DFT formation energy in eV per atom: 0.0998
Symmetry: F-43m (216)
Magnetic moment in μB/f.u.: 0.00

Geometry as POSCAR:
```
InHgPb
1.0
4.963 0.000 0.000
2.482 4.298 0.000
2.482 1.433 4.053
Hg In Pb
1 1 1
Direct
0.500 0.500 0.500
0.250 0.250 0.250
0.000 0.000 0.000
```

=====

(3)
VASP calculation (PBEsol) on a relaxed InHg2Pb crystal.

Raw total energy in Ry per atom: -0.1487
DFT formation energy in eV per atom: 0.0054
Symmetry: P2/m (10)
Magnetic moment in μB/f.u.: 0.00

Geometry as POSCAR:
```
InHg2Pb
1.0
3.245 0.000 0.130
0.000 5.173 0.000
-0.486 0.000 6.057
Pb Hg In
1 2 1
Direct
0.000 0.500 0.500
0.574 0.000 0.746
0.426 0.000 0.254
0.500 0.500 0.000
```

=====

(4)
VASP calculation (PBEsol) on a relaxed In2HgPb crystal.

Raw total energy in Ry per atom: -0.1924
DFT formation energy in eV per atom: 0.0154
Symmetry: F-43m (216)
Magnetic moment in μB/f.u.: 0.00

Geometry as POSCAR:
```
In2HgPb
1.0
-2.848 4.364 -0.799
-4.082 1.097 3.152
0.306 4.009 3.411
Pb Hg In
1 1 2
Direct
0.250 0.250 0.250
0.500 0.500 0.500
0.000 0.000 0.000
0.750 0.750 0.750
```

=====

(5)
VASP calculation (PBEsol) on a relaxed InHg2Pb crystal.

Raw total energy in Ry per atom: -0.1491
DFT formation energy in eV per atom: -0.0001
Symmetry: Pm (6)
Magnetic moment in μB/f.u.: 0.00

Geometry as POSCAR:
```
InHg2Pb
1.0
-1.613 -2.823 1.133
4.320 -2.942 -1.179
1.972 0.874 5.042
Pb Hg In
1 2 1
Direct
0.375 0.500 0.872
0.875 0.000 0.878
0.875 0.500 0.372
0.376 0.000 0.378
```

=====

(6)
VASP calculation (PBEsol) on a relaxed InHg2Pb crystal.

Raw total energy in Ry per atom: -0.1472
DFT formation energy in eV per atom: 0.0256
Symmetry: Cmm2 (35)
Magnetic moment in μB/f.u.: 0.00

Geometry as POSCAR:
```
InHg2Pb
1.0
-2.638 -1.795 0.779
2.147 -1.282 -2.130
5.410 -4.429 8.117
Pb Hg In
1 2 1
Direct
0.500 0.500 0.244
0.000 0.000 0.988
0.500 0.500 0.754
0.000 0.000 0.514
```